No. 1
First-principles (GGA-PBE) data for an optimized crystal structure of Li4MnSi, as listed in Alexandria via LeMat-Bulk.

Computed properties:
Crystal system   cubic
N(E_F)   0.597 states/eV/atom
Total DFT energy (no corrections)   -3.513 eV/atom
Formation energy (no corrections)   195 meV per atom

POSCAR file:
```
Li4MnSi
1.0
0.0000 3.4490 3.4490
3.4490 0.0000 3.4490
3.4490 3.4490 0.0000
Li Mn Si
4 1 1
direct
0.1255 0.1255 0.1255 Li
0.1255 0.1255 0.6236 Li
0.1255 0.6236 0.1255 Li
0.6236 0.1255 0.1255 Li
0.7500 0.7500 0.7500 Mn
0.5000 0.5000 0.5000 Si
```



No. 2
First-principles (GGA-PBE) data for an optimized crystal structure of Li2MnSi, as listed in Alexandria via LeMat-Bulk.

Computed properties:
Crystal system   tetragonal
N(E_F)   0.495 states/eV/atom
Total DFT energy (no corrections)   -4.618 eV/atom
Formation energy (no corrections)   -13 meV per atom

POSCAR file:
```
Li2MnSi
1.0
2.7378 0.0000 0.0000
0.0000 2.7378 0.0000
0.0000 0.0000 7.6044
Li Mn Si
2 1 1
direct
0.0000 0.0000 0.0000 Li
0.5000 0.5000 0.3053 Li
0.0000 0.0000 0.5648 Mn
0.5000 0.5000 0.7635 Si
```



No. 3
First-principles (GGA-PBE) data for an optimized crystal structure of Li2MnSi, as listed in Alexandria via LeMat-Bulk.

Computed properties:
Crystal system   tetragonal
N(E_F)   0.543 states/eV/atom
Total DFT energy (no corrections)   -4.314 eV/atom
Formation energy (no corrections)   291 meV per atom

POSCAR file:
```
Li2MnSi
1.0
-3.5522 3.5522 2.4096
3.5522 -3.5522 2.4096
3.5522 3.5522 -2.4096
Li Mn Si
4 2 2
direct
0.1126 0.6250 0.9876 Li
0.3750 0.3626 0.4876 Li
0.6374 0.1250 0.0124 Li
0.8750 0.8874 0.5124 Li
0.2500 0.7500 0.5000 Mn
0.5000 0.5000 0.0000 Mn
0.0000 0.0000 0.0000 Si
0.7500 0.2500 0.5000 Si
```



No. 4
First-principles (GGA-PBE) data for an optimized crystal structure of LiMn2Si, as listed in Alexandria via LeMat-Bulk.

Computed properties:
Crystal system   trigonal
N(E_F)   0.770 states/eV/atom
Total DFT energy (no corrections)   -6.285 eV/atom
Formation energy (no corrections)   134 meV per atom

POSCAR file:
```
LiMn2Si
1.0
1.2932 0.7466 8.4342
-1.2932 0.7466 8.4342
0.0000 -1.4933 8.4342
Li Mn Si
1 2 1
direct
0.0000 0.0000 0.0000 Li
0.2424 0.2424 0.2424 Mn
0.7576 0.7576 0.7576 Mn
0.5000 0.5000 0.5000 Si
```



No. 5
First-principles (GGA-PBE) data for an optimized crystal structure of LiMn2Si, as listed in Alexandria via LeMat-Bulk.

Computed properties:
Crystal system   orthorhombic
N(E_F)   1.044 states/eV/atom
Total DFT energy (no corrections)   -6.441 eV/atom
Formation energy (no corrections)   -22 meV per atom

POSCAR file:
```
LiMn2Si
1.0
2.8584 0.0000 0.0000
0.0000 3.9364 0.0000
0.0000 0.0000 4.1148
Li Mn Si
1 2 1
direct
0.0000 0.0000 0.0000 Li
0.0000 0.5000 0.5000 Mn
0.5000 0.5000 0.0000 Mn
0.5000 0.0000 0.5000 Si
```



No. 6
First-principles (GGA-PBE) data for an optimized crystal structure of Li2MnSi, as listed in Alexandria via LeMat-Bulk.

Computed properties:
Crystal system   trigonal
N(E_F)   0.469 states/eV/atom
Total DFT energy (no corrections)   -4.538 eV/atom
Formation energy (no corrections)   67 meV per atom

POSCAR file:
```
Li2MnSi
1.0
1.3653 0.7883 9.0339
-1.3653 0.7883 9.0339
0.0000 -1.5765 9.0339
Li Mn Si
2 1 1
direct
0.0000 0.0000 0.0000 Li
0.2355 0.2355 0.2355 Li
0.4843 0.4843 0.4843 Mn
0.7457 0.7457 0.7457 Si
```